# PmMn3Cu4O12 (GGA+U, optimized geometry)
data_PmMn3Cu4O12
_chemical_formula_sum 'Pm2 Mn6 Cu8 O24'
_cell_length_a 7.4237
_cell_length_b 7.4237
_cell_length_c 7.4237
_cell_angle_alpha 90.00
_cell_angle_beta 90.00
_cell_angle_gamma 90.00
_symmetry_space_group_name_H-M 'I m -3'
_symmetry_Int_Tables_number 204
_symmetry_space_group_name_Hall '-I 2 2 3'
loop_
_atom_site_label
_atom_site_type_symbol
_atom_site_fract_x
_atom_site_fract_y
_atom_site_fract_z
_atom_site_occupancy
Pm1 Pm 0.0000 0.0000 0.0000 1
Mn1 Mn 0.0000 0.0000 0.5000 1
Cu1 Cu 0.2500 0.2500 0.2500 1
O1 O 0.0000 0.1783 0.3052 1
# * size of the total moment: 22.70 Bohr magnetons per cell
# * E_tot: -254.61 eV/cell
# * V: 10.23 Å³ per atom